Entry 1:
The following is a DFT calculation (GGA-PBE) of a relaxed CsTaSiS6 crystal.

Values from the calculation:
SG: P1 (1)

a b c (Å): 6.390 6.567 7.729
angles (deg): 102.16 93.54 118.23
Fractional coordinates of all 9 atoms:
Cs 0.000 0.000 0.000
Ta 0.336 0.636 0.542
Si 0.755 0.318 0.506
S 0.030 0.303 0.655
S 0.450 0.934 0.787
S 0.450 0.948 0.350
S 0.576 0.469 0.661
S 0.603 0.728 0.321
S 0.949 0.499 0.323

=====

Entry 2:
The following is a DFT calculation (GGA-PBE) of a relaxed Sr2Ga2Pt crystal.

Values from the calculation:
SG: C2/m (12)
DFT formation energy, eV/atom: -0.647

a b c (Å): 6.324 6.324 11.835
angles (deg): 113.08 113.08 39.41
Fractional coordinates of all 10 atoms:
Sr 0.101 0.101 0.387
Sr 0.289 0.289 0.858
Sr 0.711 0.711 0.142
Sr 0.899 0.899 0.613
Ga 0.035 0.035 0.911
Ga 0.390 0.390 0.386
Ga 0.610 0.610 0.614
Ga 0.965 0.965 0.089
Pt 0.434 0.434 0.189
Pt 0.566 0.566 0.811

=====

Entry 3:
The following is a DFT calculation (GGA-PBE) of a relaxed CaOs2Ru crystal.

Values from the calculation:
SG: I-42d (122)
DFT formation energy, eV/atom: 0.863

a b c (Å): 5.966 5.966 5.966
angles (deg): 100.96 100.96 128.31
Fractional coordinates of all 8 atoms:
Ca 0.000 0.000 0.000
Ca 0.750 0.250 0.500
Os 0.183 0.625 0.058
Os 0.375 0.433 0.558
Os 0.567 0.125 0.942
Os 0.875 0.817 0.442
Ru 0.250 0.750 0.500
Ru 0.500 0.500 0.000

=====

Entry 4:
The following is a DFT calculation (GGA-PBE) of a relaxed TaInRu2C crystal.

Values from the calculation:
SG: P4/mmm (123)
DFT formation energy, eV/atom: 0.058

a b c (Å): 4.174 4.174 4.222
angles (deg): 90.00 90.00 90.00
Fractional coordinates of all 5 atoms:
Ta 0.000 0.000 0.000
In 0.500 0.500 0.000
Ru 0.000 0.500 0.500
Ru 0.500 0.000 0.500
C 0.000 0.000 0.500

=====

Entry 5:
The following is a DFT calculation (GGA-PBE) of a relaxed YSc2Be crystal.

Values from the calculation:
SG: I-42d (122)
DFT formation energy, eV/atom: 0.271

a b c (Å): 6.310 6.310 6.310
angles (deg): 102.71 102.71 124.05
Fractional coordinates of all 8 atoms:
Y 0.000 0.000 0.000
Y 0.750 0.250 0.500
Sc 0.189 0.625 0.064
Sc 0.375 0.439 0.564
Sc 0.561 0.125 0.936
Sc 0.875 0.811 0.436
Be 0.250 0.750 0.500
Be 0.500 0.500 0.000

=====

Entry 6:
The following is a DFT calculation (GGA-PBE) of a relaxed PrHo2Pt crystal.

Values from the calculation:
SG: R3m (160)
DFT formation energy, eV/atom: -0.560

a b c (Å): 9.319 9.319 9.319
angles (deg): 24.59 24.59 24.59
Fractional coordinates of all 4 atoms:
Pr 0.000 0.000 0.000
Ho 0.556 0.556 0.556
Ho 0.772 0.772 0.772
Pt 0.164 0.164 0.164

=====

Number 1: uncorrected energy -0.2051 Ha/atom. Number 2: uncorrected energy -0.1374 Ha/atom. Number 3: uncorrected energy -0.2782 Ha/atom. Number 4: uncorrected energy -0.3092 Ha/atom. Number 5: uncorrected energy -0.2000 Ha/atom. Number 6: uncorrected energy -0.2041 Ha/atom.